VASP calculation (PBE) on a relaxed InSbP crystal.

Computed properties:
Magnetization ... 0.0 μB per cell
Raw formation energy ... 70 meV per atom
Density ... 5.34 g/cm³
Energy relative to the lowest polymorph listed for this composition ... 0.071 eV/atom

a b c (Å): 3.175 5.869 9.183
angles (deg): 100.00 98.99 90.31
Space group P1 (No. 1)
One atom of each set of equivalent atoms:
In 0.000 0.000 0.000 [1 per cell]
In 0.087 0.529 0.253 [1 per cell]
Sb 0.762 0.530 0.570 [1 per cell]
Sb 0.940 0.475 0.905 [1 per cell]
P 0.138 0.015 0.316 [1 per cell]
P 0.714 0.069 0.483 [1 per cell]

VASP calculation (PBE) on a relaxed Ce6FeTcHg2 crystal.

Computed properties:
Magnetization ... 2.6 μB per cell
Density ... 8.49 g/cm³
Formation energy from the elements ... -0.12 eV/atom

a b c (Å): 7.100 7.109 7.373
angles (deg): 118.62 118.69 90.25
Space group P1 (No. 1)
One atom of each set of equivalent atoms:
Ce 0.000 0.000 0.000 [1 per cell]
Ce 0.048 0.932 0.495 [1 per cell]
Ce 0.116 0.481 0.000 [1 per cell]
Ce 0.480 0.880 0.999 [1 per cell]
Ce 0.549 0.432 0.497 [1 per cell]
Ce 0.600 0.363 0.999 [1 per cell]
Fe 0.302 0.194 0.009 [1 per cell]
Tc 0.778 0.652 0.948 [1 per cell]
Hg 0.048 0.431 0.497 [1 per cell]
Hg 0.549 0.931 0.498 [1 per cell]

VASP calculation (PBE) on a relaxed Na3TiSb2Te6 crystal.

Computed properties:
Magnetization ... 2.0 μB per cell
Raw formation energy ... -557 meV per atom
Density ... 5.06 g/cm³

a b c (Å): 7.549 13.094 7.887
angles (deg): 90.00 108.71 90.00
Space group C2/m (No. 12)
One atom of each set of equivalent atoms:
Na 0.000 0.000 0.000 [2 per cell]
Na 0.000 0.320 0.000 [4 per cell]
Ti 0.000 0.500 0.500 [2 per cell]
Sb 0.000 0.165 0.500 [4 per cell]
Te 0.228 0.344 0.719 [8 per cell]
Te 0.236 0.500 0.278 [4 per cell]

VASP calculation (PBE) on a relaxed ZrIrRh2 crystal.

Computed properties:
Magnetization ... 0.0 μB per cell
Density ... 12.83 g/cm³
Formation energy from the elements ... -0.54 eV/atom

a b c (Å): 3.998 3.998 7.922
angles (deg): 90.00 90.00 90.00
Space group I-4m2 (No. 119)
One atom of each set of equivalent atoms:
Zr 0.000 0.000 0.000 [2 per cell]
Ir 0.000 0.500 0.750 [2 per cell]
Rh 0.000 0.000 0.500 [2 per cell]
Rh 0.000 0.500 0.250 [2 per cell]

VASP calculation (PBE) on a relaxed CeSc14Tl crystal.

Computed properties:
Magnetization ... 1.3 μB per cell
Density ... 4.11 g/cm³
Formation energy from the elements ... -0.03 eV/atom

a b c (Å): 10.371 6.691 11.347
angles (deg): 90.00 90.00 90.00
Space group Amm2 (No. 38)
One atom of each set of equivalent atoms:
Ce 0.000 0.000 0.000 [2 per cell]
Sc 0.000 0.245 0.762 [4 per cell]
Sc 0.245 0.000 0.348 [4 per cell]
Sc 0.250 0.247 0.096 [8 per cell]
Sc 0.259 0.000 0.845 [4 per cell]
Sc 0.500 0.000 0.018 [2 per cell]
Sc 0.500 0.000 0.517 [2 per cell]
Sc 0.500 0.246 0.265 [4 per cell]
Tl 0.000 0.000 0.520 [2 per cell]

VASP calculation (PBE) on a relaxed LiHoAgPd crystal.

Computed properties:
Magnetization ... 0.0 μB per cell
Density ... 8.24 g/cm³
Formation energy from the elements ... -0.45 eV/atom

a b c (Å): 6.778 6.778 6.778
angles (deg): 90.00 90.00 90.00
Space group F-43m (No. 216)
One atom of each set of equivalent atoms:
Li 0.000 0.000 0.000 [4 per cell]
Ho 0.000 0.000 0.500 [4 per cell]
Ag 0.250 0.250 0.750 [4 per cell]
Pd 0.250 0.250 0.250 [4 per cell]

VASP calculation (PBE) on a relaxed Rb2Tl2Hg crystal.

Computed properties:
Magnetization ... 0.0 μB per cell
Density ... 5.75 g/cm³
Energy relative to the lowest polymorph listed for this composition ... 0.057 eV/atom
Formation energy from the elements ... -0.07 eV/atom

a b c (Å): 4.524 4.524 22.000
angles (deg): 90.00 90.00 90.00
Space group I4/mmm (No. 139)
One atom of each set of equivalent atoms:
Rb 0.000 0.000 0.101 [4 per cell]
Tl 0.000 0.500 0.250 [4 per cell]
Hg 0.000 0.000 0.500 [2 per cell]

VASP calculation (PBE) on a relaxed LiTa2Pt crystal.

Computed properties:
Magnetization ... 0.0 μB per cell
Density ... 14.45 g/cm³
Formation energy from the elements ... -0.15 eV/atom

a b c (Å): 3.291 3.291 5.983
angles (deg): 90.00 90.00 90.00
Space group P4mm (No. 99)
One atom of each set of equivalent atoms:
Li 0.000 0.000 0.000 [1 per cell]
Ta 0.000 0.000 0.467 [1 per cell]
Ta 0.500 0.500 0.744 [1 per cell]
Pt 0.500 0.500 0.210 [1 per cell]